No. 1
LiRuAu: relaxed, PBE.

Values from the calculation:
The value obtained for the density of states at the Fermi level is 0.79 states/eV/atom. The volume comes out at 15.3 Å³ per atom. Its energy above the most stable polymorph in this dataset is 47 meV/atom.

```
3
Lattice="0.000 2.258 6.957 1.460 0.000 6.957 1.460 2.258 0.000" Properties=species:S:1:pos:R:3 pbc="T T T"
Li 0.000 0.000 0.000
Ru 1.460 2.258 9.159
Au 1.460 2.258 4.703
```

***

No. 2
Li2RuAu: relaxed, PBE.

Values from the calculation:
The value obtained for the density of states at the Fermi level is 0.96 states/eV/atom. The volume comes out at 14.6 Å³ per atom. Its energy above the most stable polymorph in this dataset is 94 meV/atom.

```
4
Lattice="2.612 0.000 0.000 0.000 3.984 0.000 0.000 0.000 5.611" Properties=species:S:1:pos:R:3 pbc="T T T"
Li 0.000 0.000 1.349
Li 0.000 0.000 4.262
Ru 1.306 1.992 0.000
Au 1.306 1.992 2.806
```

***

No. 3
LiRuAu2: relaxed, PBE.

Values from the calculation:
The value obtained for the density of states at the Fermi level is 0.48 states/eV/atom. The volume comes out at 15.8 Å³ per atom. Its energy above the most stable polymorph in this dataset is 147 meV/atom.

```
4
Lattice="1.408 0.813 9.184 -1.408 0.813 9.184 0.000 -1.625 9.184" Properties=species:S:1:pos:R:3 pbc="T T T"
Li 0.000 0.000 0.000
Ru 0.000 0.000 13.776
Au 0.000 0.000 6.958
Au 0.000 0.000 20.594
```

***

No. 4
LiRuAu2: relaxed, PBE.

Values from the calculation:
The value obtained for the density of states at the Fermi level is 0.40 states/eV/atom. The volume comes out at 15.8 Å³ per atom. Its energy above the most stable polymorph in this dataset is 104 meV/atom.

```
4
Lattice="2.786 0.000 0.000 0.000 2.786 0.000 0.000 0.000 8.125" Properties=species:S:1:pos:R:3 pbc="T T T"
Li 0.000 0.000 0.000
Ru 0.000 0.000 4.062
Au 1.393 1.393 1.954
Au 1.393 1.393 6.171
```